# MnGeB2O (PBE with a Hubbard U, optimized geometry)
# Space group: P4/mmm (123)
# Volume: 13.56 Å³ per atom
# Raw total energy: -25.32 eV per cell
data_MnGeB2O
_cell_length_a 4.150
_cell_length_b 3.938
_cell_length_c 4.150
_cell_angle_alpha 90.00
_cell_angle_beta 90.00
_cell_angle_gamma 90.00
_symmetry_space_group_name_H-M 'P 1'
_symmetry_Int_Tables_number 1
_symmetry_space_group_name_Hall 'P 1'
loop_
_atom_site_label
_atom_site_fract_x
_atom_site_fract_y
_atom_site_fract_z
B1 0.000 0.000 0.500
B2 0.500 0.000 0.000
Mn1 0.500 0.500 0.500
O1 0.000 0.500 0.000
Ge1 0.000 0.000 0.000